Density functional theory data (PBE) for a geometry-optimized TbTm5Th5 structure.

The structure in extended XYZ format:
```
11
Lattice="6.2723 0.0000 0.0000 -3.1362 5.4320 0.0000 0.0000 0.0000 11.1104" Properties=species:S:1:pos:R:3 pbc="T T T"
Th 4.6431 0.9406 5.5552
Th 0.0000 0.0000 8.1315
Th 0.0000 0.0000 2.9789
Th 1.6292 0.9406 5.5552
Th 3.1362 3.5507 5.5552
Tb 0.0000 3.6213 0.0000
Tm 3.1362 1.8107 9.0933
Tm 3.1362 1.8107 2.0171
Tm 0.0000 3.6213 3.6488
Tm 0.0000 0.0000 0.0000
Tm 0.0000 3.6213 7.4616
```

Computed properties:
- total DFT energy (no corrections) (eV for the cell shown) = -59.71
- formation enthalpy at 0 K (eV per formula unit) = 4.377
- SG = P-6m2 (187)

***

Density functional theory data (PBE) for a geometry-optimized Mo2Pd7Pt3 structure.

The structure in extended XYZ format:
```
12
Lattice="2.7382 0.0014 -0.3461 -0.0662 4.4456 -0.5101 0.7468 -1.9653 15.8416" Properties=species:S:1:pos:R:3 pbc="T T T"
Pd 1.6922 4.0449 2.3826
Pd 1.1339 0.2102 8.3535
Pd 0.0000 0.0000 0.0000
Pd 3.1570 0.7392 12.9227
Pd 1.7266 -1.5632 12.6029
Pd 2.2849 2.2715 6.6319
Pd 0.2618 1.7426 2.0627
Pt 1.3360 2.2235 -0.4281
Pt 2.7033 2.6224 9.4115
Pt 0.7156 -0.1406 5.5739
Mo 1.9254 1.9698 4.1589
Mo 1.4934 0.5119 10.8266
```

Computed properties:
- total DFT energy (no corrections) (eV for the cell shown) = -76.17
- formation enthalpy at 0 K (eV per formula unit) = -0.032
- SG = P-1 (2)

***

Density functional theory data (PBE) for a geometry-optimized SrOsRu structure.

The structure in extended XYZ format:
```
6
Lattice="4.5402 -0.0138 0.0018 -0.1833 7.1310 -0.0002 -0.0159 -0.0017 4.4365" Properties=species:S:1:pos:R:3 pbc="T T T"
Os 0.4920 0.5424 0.4593
Os 0.8293 6.6445 2.6783
Sr 2.8434 5.2229 0.4644
Sr 0.6285 2.9900 2.6798
Ru 2.6415 1.6027 0.4652
Ru 3.1640 0.5159 2.6850
```

Computed properties:
- total DFT energy (no corrections) (eV for the cell shown) = -42.66
- formation enthalpy at 0 K (eV per formula unit) = 0.857
- SG = P1 (1)
- polymorph energy (0 for the lowest one) (eV/atom) = 0.030